# 1
Below is crystalline Rb2NaTlHg6 at its relaxed geometry, with properties calculated at the PBE level.

Summary:
* total magnetization: 0.000 μB/cell
* space group: Fm-3m

a b c (Å): 8.3380 8.3380 8.3380
angles (deg): 60.00 60.00 90.00
Closest atoms and distances in Å follow each position.
Fractional positions:
Rb 0.2500 0.7500 0.5000  12 Hg 4.17
Rb 0.7500 0.2500 0.5000  12 Hg 4.17
Na 0.5000 0.5000 0.0000  6 Hg 2.88
Tl 0.0000 0.0000 0.0000  6 Hg 3.01
Hg 0.2554 0.7446 0.0000  1 Na 2.88, 1 Tl 3.01
Hg 0.7446 0.7446 0.0000  1 Na 2.88, 1 Tl 3.01
Hg 0.2554 0.2554 0.4893  1 Na 2.88, 1 Tl 3.01
Hg 0.7446 0.2554 0.0000  1 Na 2.88, 1 Tl 3.01
Hg 0.2554 0.2554 0.0000  1 Na 2.88, 1 Tl 3.01
Hg 0.7446 0.7446 0.5107  1 Na 2.88, 1 Tl 3.01


# 2
Below is crystalline Rb2Na3Tl4Hg2 at its relaxed geometry, with properties calculated at the PBE level.

Summary:
* total magnetization: 0.000 μB/cell
* space group: I4/mmm

a b c (Å): 5.8016 5.8016 13.8205
angles (deg): 102.12 102.12 90.00
Closest atoms and distances in Å follow each position.
Fractional positions:
Rb 0.3079 0.3079 0.6157  1 Hg 3.67, 4 Tl 3.99
Rb 0.6921 0.6921 0.3843  1 Hg 3.67, 4 Tl 3.99
Na 0.0000 0.0000 0.0000  8 Tl 3.72, 2 Na 3.84
Na 0.1457 0.1457 0.2913  4 Tl 3.27
Na 0.8543 0.8543 0.7087  4 Tl 3.27
Tl 0.4117 0.9117 0.8233  2 Hg 3.05, 2 Na 3.27
Tl 0.9117 0.4117 0.8233  2 Hg 3.05, 2 Na 3.27
Tl 0.0883 0.5883 0.1767  2 Hg 3.05, 2 Na 3.27
Tl 0.5883 0.0883 0.1767  2 Hg 3.05, 2 Na 3.27
Hg 0.4469 0.4469 0.8938  1 Hg 2.80, 4 Tl 3.05
Hg 0.5531 0.5531 0.1062  1 Hg 2.80, 4 Tl 3.05


# 3
Below is crystalline RbNaZnHg at its relaxed geometry, with properties calculated at the PBE level.

Summary:
* total magnetization: 0.000 μB/cell
* space group: F-43m

a b c (Å): 5.7990 5.7990 5.7990
angles (deg): 60.00 60.00 60.00
Closest atoms and distances in Å follow each position.
Fractional positions:
Na 0.2500 0.2500 0.2500  4 Hg 3.55, 4 Zn 3.55
Zn 0.0000 0.0000 0.0000  4 Na 3.55, 4 Rb 3.55
Hg 0.5000 0.5000 0.5000  4 Rb 3.55, 4 Na 3.55
Rb 0.7500 0.7500 0.7500  4 Hg 3.55, 4 Zn 3.55


# 4
Below is crystalline Rb2NaZnHg at its relaxed geometry, with properties calculated at the PBE level.

Summary:
* total magnetization: 0.000 μB/cell
* space group: P4/mmm

a b c (Å): 7.0099 7.0099 5.0916
angles (deg): 90.00 90.00 90.00
Closest atoms and distances in Å follow each position.
Fractional positions:
Na 0.5000 0.5000 0.5000  8 Rb 4.33
Zn 0.0000 0.0000 0.0000  2 Hg 2.55
Hg 0.0000 0.0000 0.5000  2 Zn 2.55
Rb 0.0000 0.5000 0.0000  2 Zn 3.50
Rb 0.5000 0.0000 0.0000  2 Zn 3.50


# 5
Below is crystalline RbNaZr2Hg at its relaxed geometry, with properties calculated at the PBE level.

Summary:
* total magnetization: 0.872 μB/cell
* space group: P4/mmm

a b c (Å): 5.2347 5.0865 5.2347
angles (deg): 90.00 90.00 90.00
Closest atoms and distances in Å follow each position.
Fractional positions:
Na 0.0000 0.5000 0.0000  2 Rb 2.54
Rb 0.0000 0.0000 0.0000  2 Na 2.54, 4 Zr 2.62
Hg 0.5000 0.5000 0.5000  8 Zr 3.65, 4 Na 3.70
Zr 0.0000 0.0000 0.5000  2 Rb 2.62
Zr 0.5000 0.0000 0.0000  2 Rb 2.62


# 6
Below is crystalline Na3ReHg at its relaxed geometry, with properties calculated at the PBE level.

Summary:
* total magnetization: 3.642 μB/cell
* space group: Pm-3m

a b c (Å): 5.8590 5.8590 5.8590
angles (deg): 90.00 90.00 90.00
Closest atoms and distances in Å follow each position.
Fractional positions:
Re 0.0000 0.0000 0.0000  6 Na 2.93
Hg 0.5000 0.5000 0.5000  12 Na 4.14
Na 0.0000 0.5000 0.0000  2 Re 2.93
Na 0.0000 0.0000 0.5000  2 Re 2.93
Na 0.5000 0.0000 0.0000  2 Re 2.93


# 7
Below is crystalline Na3ReHg at its relaxed geometry, with properties calculated at the PBE level.

Summary:
* total magnetization: 4.273 μB/cell
* space group: Pm-3m

a b c (Å): 5.5685 5.5685 5.5685
angles (deg): 90.00 90.00 90.00
Closest atoms and distances in Å follow each position.
Fractional positions:
Re 0.5000 0.5000 0.5000  12 Na 3.94
Hg 0.0000 0.0000 0.0000  6 Na 2.78
Na 0.0000 0.5000 0.0000  2 Hg 2.78
Na 0.0000 0.0000 0.5000  2 Hg 2.78
Na 0.5000 0.0000 0.0000  2 Hg 2.78


# 8
Below is crystalline Na4ReHg2 at its relaxed geometry, with properties calculated at the PBE level.

Summary:
* total magnetization: 3.226 μB/cell
* space group: I4/mmm

a b c (Å): 5.6913 5.6913 8.6298
angles (deg): 70.75 70.75 90.00
Closest atoms and distances in Å follow each position.
Fractional positions:
Re 0.0000 0.0000 0.0000  6 Na 2.85-3.03
Hg 0.6020 0.6020 0.7960  5 Na 3.04-3.24, 1 Hg 3.11
Hg 0.3980 0.3980 0.2040  5 Na 3.04-3.24, 1 Hg 3.11
Na 0.8013 0.8013 0.3973  1 Re 3.03, 1 Hg 3.04
Na 0.1987 0.1987 0.6027  1 Re 3.03, 1 Hg 3.04
Na 0.0000 0.5000 0.0000  2 Re 2.85
Na 0.5000 0.0000 0.0000  2 Re 2.85


# 9
Below is crystalline NaReHg3 at its relaxed geometry, with properties calculated at the PBE level.

Summary:
* total magnetization: 4.293 μB/cell
* space group: Pm-3m

a b c (Å): 5.4013 5.4013 5.4013
angles (deg): 90.00 90.00 90.00
Closest atoms and distances in Å follow each position.
Fractional positions:
Re 0.5000 0.5000 0.5000  12 Hg 3.82
Hg 0.0000 0.5000 0.0000  2 Na 2.70
Hg 0.0000 0.0000 0.5000  2 Na 2.70
Hg 0.5000 0.0000 0.0000  2 Na 2.70
Na 0.0000 0.0000 0.0000  6 Hg 2.70


# 10
Below is crystalline NaRe2Hg at its relaxed geometry, with properties calculated at the PBE level.

Summary:
* total magnetization: 0.001 μB/cell
* space group: I-42d

a b c (Å): 8.1264 8.1264 6.2447
angles (deg): 49.41 49.41 90.00
Closest atoms and distances in Å follow each position.
Fractional positions:
Re 0.6661 0.1250 0.2500  2 Re 2.53, 2 Hg 2.72
Re 0.0839 0.6250 0.2500  2 Re 2.53, 2 Hg 2.72
Re 0.3750 0.3339 0.7500  2 Re 2.53, 2 Hg 2.72
Re 0.8750 0.9161 0.7500  2 Re 2.53, 2 Hg 2.72
Hg 0.0000 0.0000 0.0000  2 Na 2.44, 4 Re 2.72
Hg 0.7500 0.2500 0.5000  2 Na 2.44, 4 Re 2.72
Na 0.5000 0.5000 0.0000  2 Hg 2.44
Na 0.2500 0.7500 0.5000  2 Hg 2.44


# 11
Below is crystalline Na2ReHg at its relaxed geometry, with properties calculated at the PBE level.

Summary:
* total magnetization: 5.917 μB/cell
* space group: I-42d

a b c (Å): 8.2968 8.2968 6.4929
angles (deg): 50.29 50.29 90.00
Closest atoms and distances in Å follow each position.
Fractional positions:
Re 0.5000 0.5000 0.0000  2 Hg 2.78, 4 Na 3.08
Re 0.2500 0.7500 0.5000  2 Hg 2.78, 4 Na 3.08
Hg 0.0000 0.0000 0.0000  2 Re 2.78, 4 Na 2.95
Hg 0.7500 0.2500 0.5000  2 Re 2.78, 4 Na 2.95
Na 0.6356 0.1250 0.2500  2 Na 2.79, 2 Hg 2.95, 2 Re 3.08
Na 0.1144 0.6250 0.2500  2 Na 2.79, 2 Hg 2.95, 2 Re 3.08
Na 0.3750 0.3644 0.7500  2 Na 2.79, 2 Hg 2.95, 2 Re 3.08
Na 0.8750 0.8856 0.7500  2 Na 2.79, 2 Hg 2.95, 2 Re 3.08


# 12
Below is crystalline Na2Re2Hg at its relaxed geometry, with properties calculated at the PBE level.

Summary:
* total magnetization: 0.000 μB/cell
* space group: I4/mmm

a b c (Å): 3.5327 3.5327 9.7702
angles (deg): 79.58 79.58 90.00
Closest atoms and distances in Å follow each position.
Fractional positions:
Re 0.7500 0.2500 0.5000  4 Re 2.50
Re 0.2500 0.7500 0.5000  4 Re 2.50
Hg 0.0000 0.0000 0.0000  8 Na 3.26, 4 Hg 3.53
Na 0.3890 0.3890 0.2220  4 Re 3.16, 4 Hg 3.26, 4 Na 3.53
Na 0.6110 0.6110 0.7780  4 Re 3.16, 4 Hg 3.26, 4 Na 3.53


| no. | final energy (eV per atom) | V (Å³/f.u.) |
| --- | --- | --- |
| 1 | -0.815 | 409.9 |
| 2 | -1.467 | 444.2 |
| 3 | -0.943 | 137.9 |
| 4 | -0.905 | 250.2 |
| 5 | -2.179 | 139.4 |
| 6 | -2.021 | 201.1 |
| 7 | -2.023 | 172.7 |
| 8 | -1.746 | 247.3 |
| 9 | -1.506 | 157.6 |
| 10 | -5.049 | 80.7 |
| 11 | -2.696 | 95.8 |
| 12 | -4.953 | 117.9 |